# 1
4
Lattice="-0.4482 -3.9779 -1.6090 2.1995 -1.6329 3.4242 -3.2039 -0.3952 1.8696" Properties=species:S:1:pos:R:3 comment="MgZnInPd (GGA-PBE, optimized geometry)" ef_ev_per_atom=-0.33 m_tot_mub_per_fu=0.00 spacegroup=Pmmm energy_ev_per_atom=-3.03 pbc="T T T"
Zn 1.7393 -1.2912 2.7078
Mg -0.9622 -0.6725 1.9307
In -0.0870 -3.4776 2.8377
Pd 0.4150 -2.4634 0.1904

# 2
20
Lattice="-3.0658 4.6900 3.0592 -6.6912 -2.9265 1.8972 1.6697 -0.9806 7.2929" Properties=species:S:1:pos:R:3 comment="KGe2TeO6 (GGA-PBE, optimized geometry)" m_tot_mub_per_fu=0.00 spacegroup=C2/c energy_ev_per_atom=-5.67 formation_energy_uncorrected_kj_per_mol_fu=-1298 pbc="T T T"
O -4.0573 2.2815 9.6813
O -6.2255 -0.9249 5.7632
O -3.9072 -2.7094 6.6024
O -3.0238 1.0597 3.8743
O -8.4052 0.8196 6.2146
O -1.1553 -0.1948 8.3745
O -4.0300 -1.4985 2.5681
O -4.1801 3.4923 5.6469
O -6.9320 0.9778 3.8748
O 0.3179 -0.0367 6.0347
O -1.8619 1.7078 6.4862
O -5.0636 -0.2767 8.3751
Ge -2.7662 2.4087 5.1048
Ge -5.3211 -1.6257 7.1445
Ge -2.7140 -0.2810 2.6197
Ge -5.3733 1.0639 9.6297
Te -1.5467 -0.3783 6.4766
Te -6.5406 1.1612 5.7727
K -6.5983 -1.5540 3.2166
K -1.4890 2.3369 9.0327

# 3
10
Lattice="-0.5641 -6.2542 2.0366 4.5388 -1.8496 -4.4226 3.6625 0.7865 3.4299" Properties=species:S:1:pos:R:3 comment="K2RhS2 (GGA-PBE, optimized geometry)" m_tot_mub_per_fu=1.00 spacegroup=P4/mbm energy_ev_per_atom=-4.07 formation_energy_uncorrected_kj_per_mol_fu=-244 pbc="T T T"
S 0.3942 -4.5060 0.6123
S 2.5736 -6.4296 -1.2737
S 3.5805 -3.5978 -2.9983
S 1.4011 -1.6743 -1.1122
K 5.2788 -5.2819 -0.6650
K 2.3584 -2.0354 1.7090
K 2.9063 -5.5007 1.9186
K 4.7310 -1.8166 -0.8747
Rh 1.9874 -4.0519 -1.1930
Rh 0.0000 0.0000 0.0000

# 4
8
Lattice="-4.2751 -0.6361 0.5601 0.8117 -2.2433 3.6474 -2.1445 4.7884 6.0262" Properties=species:S:1:pos:R:3 comment="SrAuC2 (GGA-PBE, optimized geometry)" ef_ev_per_atom=1.33 m_tot_mub_per_fu=0.00 spacegroup=I4_1/amd energy_ev_per_atom=-4.52 pbc="T T T"
Sr -1.7317 -1.4397 2.1038
Sr -1.5323 0.5527 5.8887
C -5.2480 2.7552 5.4641
C -3.7714 -0.7619 4.2765
C -4.1735 0.3603 2.4523
C -3.1098 3.0714 5.1872
Au -4.0757 1.3563 4.3450
Au 0.0000 0.0000 0.0000

# 5
4
Lattice="2.7084 0.1088 0.0000 -0.9667 2.5324 0.0000 0.0000 0.0000 12.0201" Properties=species:S:1:pos:R:3 comment="K2MoOs (GGA-PBE, optimized geometry)" ef_ev_per_atom=1.40 m_tot_mub_per_fu=0.00 spacegroup=Cmmm energy_ev_per_atom=-4.66 pbc="T T T"
Os 0.8709 1.3206 9.0150
K 0.0000 0.0000 11.8615
K 0.0000 0.0000 6.1686
Mo 0.8709 1.3206 3.0050

# 6
4
Lattice="4.3329 0.0000 0.0000 0.0000 4.4201 0.0000 0.0000 0.0000 4.4201" Properties=species:S:1:pos:R:3 comment="MgGa2Sn (GGA-PBE, optimized geometry)" ef_ev_per_atom=-0.06 m_tot_mub_per_fu=0.00 spacegroup=P4/mmm energy_ev_per_atom=-2.98 pbc="T T T"
Ga 0.0000 2.2101 0.0000
Ga 0.0000 0.0000 2.2101
Mg 2.1664 0.0000 0.0000
Sn 2.1664 2.2101 2.2101

# 7
20
Lattice="0.4433 9.3736 -1.9189 2.1315 -2.3504 -8.2268 -8.6132 0.2255 1.8735" Properties=species:S:1:pos:R:3 comment="Sm6Ho2ErTh (GGA-PBE, optimized geometry)" ef_ev_per_atom=0.15 m_tot_mub_per_fu=0.00 spacegroup=C2/c energy_ev_per_atom=-4.80 pbc="T T T"
Sm -7.2579 6.8359 -3.2289
Sm 0.8964 3.4661 -7.1281
Sm 1.2195 0.4128 -5.0434
Sm -4.5981 6.5475 -0.3258
Sm -4.7672 4.8038 -3.8433
Sm -6.2966 0.4505 0.3845
Sm 0.2582 6.7982 -8.6568
Sm -6.9347 3.7826 -1.1442
Sm -3.4255 7.7014 -3.1549
Sm -1.2711 2.4449 -4.4290
Sm -2.6129 -0.4527 -5.1174
Sm -1.4403 0.7012 -7.9465
Ho -1.8756 4.7614 -2.1685
Ho -4.1627 2.4873 -6.1038
Ho -4.9494 7.4158 -6.1154
Ho -1.0890 -0.1671 -2.1569
Th -7.9524 7.1770 0.1256
Th 1.9140 0.0717 -8.3979
Er -4.1032 1.5142 -2.7416
Er -1.9352 5.7345 -5.5307

# 8
12
Lattice="-1.8363 2.1480 -2.8840 -7.3283 -1.5281 3.5279 3.5879 6.5172 5.3961" Properties=species:S:1:pos:R:3 comment="Sm6PdSe2S3 (GGA-PBE, optimized geometry)" m_tot_mub_per_fu=0.00 spacegroup=C2/m energy_ev_per_atom=-6.14 formation_energy_uncorrected_kj_per_mol_fu=-2007 pbc="T T T"
Se -4.0087 5.1089 3.5310
Se -1.5679 2.0283 2.5090
Pd -0.9181 1.0740 -1.4420
Sm -5.0130 3.5957 5.8699
Sm -1.1759 4.5001 4.1004
Sm -0.5637 3.5415 0.1701
Sm -5.4833 -1.1036 2.6694
Sm -0.0933 8.2407 3.3707
Sm -4.4008 2.6371 1.9396
S -0.3571 5.8674 1.7709
S -4.5823 0.3100 0.3219
S -5.2195 1.2697 4.2691

# 9
24
Lattice="-0.6312 -3.4649 0.7076 3.9686 -3.0372 -11.3320 9.1436 0.0404 8.3536" Properties=species:S:1:pos:R:3 comment="Tb11Ga9Co4 (GGA-PBE, optimized geometry)" ef_ev_per_atom=-0.51 m_tot_mub_per_fu=0.00 spacegroup=Cmmm energy_ev_per_atom=-4.95 pbc="T T T"
Ga 8.7683 -2.8272 3.0954
Ga 11.1681 -4.0628 -0.8142
Ga 6.2405 -3.2308 -1.1354
Ga 6.0967 -2.2166 3.7022
Ga 1.3129 -2.3988 -1.4566
Ga 3.7127 -3.6344 -5.3662
Ga 6.3843 -4.2450 -5.9731
Ga 10.4534 -4.4879 -3.5329
Ga 2.0276 -1.9738 1.2621
Tb 2.3220 -1.2550 -4.0743
Tb 4.8420 -2.5177 -8.0095
Tb 8.2701 -0.4790 5.0310
Tb 9.0304 -2.7882 -5.5981
Tb 5.9109 -1.8821 -3.9435
Tb 0.0000 0.0000 0.0000
Tb 4.0779 -0.9320 -0.9263
Tb 4.0818 -0.2085 2.6197
Tb 7.2013 -1.1147 0.9651
Tb 9.0343 -2.0648 -2.0522
Tb 10.7901 -1.7417 1.0959
Co 8.8077 -3.3849 0.3997
Co 7.7567 -4.0100 -3.5981
Co 3.6733 -3.0767 -2.6706
Co 4.7243 -2.4517 1.3273

# 10
4
Lattice="-1.0547 -2.5247 1.9955 2.0250 -2.1528 -1.6534 5.2616 1.4269 4.5862" Properties=species:S:1:pos:R:3 comment="KNiAs2 (GGA-PBE, optimized geometry)" ef_ev_per_atom=-0.09 m_tot_mub_per_fu=0.00 spacegroup=P4/mmm energy_ev_per_atom=-4.13 pbc="T T T"
K 1.8005 -1.9820 1.3176
As 3.0766 0.8343 2.6817
As 4.8158 1.3060 4.1976
Ni 4.4313 -1.2686 3.6107

# 11
5
Lattice="-0.7718 3.1189 -5.1504 -4.1795 -3.8253 -1.6901 -4.2238 3.4202 2.7041" Properties=species:S:1:pos:R:3 comment="BaAlSb2Ir (GGA-PBE, optimized geometry)" m_tot_mub_per_fu=2.14 spacegroup=P4/mmm energy_ev_per_atom=-2.48 formation_energy_uncorrected_kj_per_mol_fu=1002 pbc="T T T"
Al -2.0898 -1.9127 -0.8451
Ba 0.0000 0.0000 0.0000
Ir -4.5876 1.3569 -2.0682
Sb -2.1119 1.7101 1.3520
Sb -0.3859 1.5595 -2.5752

# 12
5
Lattice="4.1552 0.0000 0.0000 0.0000 4.1552 0.0000 0.0000 0.0000 4.1552" Properties=species:S:1:pos:R:3 comment="BeZnRe3 (GGA-PBE, optimized geometry)" ef_ev_per_atom=0.91 m_tot_mub_per_fu=0.00 spacegroup=Pm-3m energy_ev_per_atom=-7.56 pbc="T T T"
Zn 2.0776 2.0776 2.0776
Re 2.0776 0.0000 0.0000
Re 0.0000 0.0000 2.0776
Re 0.0000 2.0776 0.0000
Be 0.0000 0.0000 0.0000